NaLiO | PBEsol | optimized geometry

Unit cell a=3.304 b=3.304 c=6.645 alpha=90.00 beta=90.00 gamma=120.00
Positions (direct):
Na1 0.000 0.000 0.000
Na2 0.000 0.000 0.500
Li1 0.333 0.667 0.250
Li2 0.667 0.333 0.750
O1 0.333 0.667 0.750
O2 0.667 0.333 0.250

Properties
D(E_F): 0.00 states/eV per cell
Calculated total energy: -4.335 eV/atom
Formation energy without anion corrections: -1463 meV per atom
M_tot: 0.00 μB per formula unit
SG: P6_3/mmc

***

BaNa4Ti2Si12O30 | PBEsol | optimized geometry

Unit cell a=9.999 b=9.999 c=7.222 alpha=91.54 beta=91.54 gamma=119.11
Positions (direct):
Ba1 0.000 0.000 0.000
Na1 0.266 0.734 0.500
Na2 0.272 0.272 0.479
Na3 0.728 0.728 0.521
Na4 0.734 0.266 0.500
Ti1 0.079 0.921 0.500
Ti2 0.921 0.079 0.500
Si1 0.065 0.374 0.193
Si2 0.075 0.413 0.760
Si3 0.374 0.065 0.193
Si4 0.406 0.580 0.220
Si5 0.413 0.075 0.760
Si6 0.420 0.594 0.780
Si7 0.580 0.406 0.220
Si8 0.587 0.925 0.240
Si9 0.594 0.420 0.780
Si10 0.626 0.935 0.807
Si11 0.925 0.587 0.240
Si12 0.935 0.626 0.807
O1 0.040 0.221 0.284
O2 0.051 0.713 0.378
O3 0.064 0.572 0.777
O4 0.079 0.352 0.969
O5 0.094 0.094 0.646
O6 0.221 0.040 0.284
O7 0.231 0.523 0.275
O8 0.252 0.479 0.683
O9 0.287 0.949 0.622
O10 0.352 0.079 0.969
O11 0.418 0.582 0.000
O12 0.428 0.936 0.223
O13 0.459 0.459 0.298
O14 0.477 0.769 0.725
O15 0.479 0.252 0.683
O16 0.521 0.748 0.317
O17 0.523 0.231 0.275
O18 0.541 0.541 0.702
O19 0.572 0.064 0.777
O20 0.582 0.418 0.000
O21 0.648 0.921 0.031
O22 0.713 0.051 0.378
O23 0.748 0.521 0.317
O24 0.769 0.477 0.725
O25 0.779 0.960 0.716
O26 0.906 0.906 0.354
O27 0.921 0.648 0.031
O28 0.936 0.428 0.223
O29 0.949 0.287 0.622
O30 0.960 0.779 0.716

Properties
D(E_F): 6.42 states/eV per cell
Calculated total energy: -7.828 eV/atom
Formation energy without anion corrections: -2709 meV per atom
M_tot: 1.85 μB per formula unit
SG: C2/m

***

Ba2Cd | PBEsol | optimized geometry

Unit cell a=7.893 b=5.795 c=10.830 alpha=90.00 beta=90.00 gamma=90.00
Positions (direct):
Ba1 0.027 0.250 0.193
Ba2 0.168 0.250 0.570
Ba3 0.332 0.750 0.070
Ba4 0.473 0.750 0.693
Ba5 0.527 0.250 0.307
Ba6 0.668 0.250 0.930
Ba7 0.832 0.750 0.430
Ba8 0.973 0.750 0.807
Cd1 0.223 0.250 0.892
Cd2 0.277 0.750 0.392
Cd3 0.723 0.250 0.608
Cd4 0.777 0.750 0.108

Properties
D(E_F): 13.38 states/eV per cell
Calculated total energy: -2.026 eV/atom
M_tot: 0.00 μB per formula unit
SG: Pnma

***

BeMo2Os | PBEsol | optimized geometry

Unit cell a=3.072 b=3.072 c=5.678 alpha=90.00 beta=90.00 gamma=90.00
Positions (direct):
Be1 0.000 0.000 0.000
Mo1 0.000 0.000 0.505
Mo2 0.500 0.500 0.246
Os1 0.500 0.500 0.798

Properties
D(E_F): 2.77 states/eV per cell
Calculated total energy: -9.837 eV/atom
M_tot: 0.00 μB per formula unit
SG: P4mm

***

GeHS2Cl | PBEsol | optimized geometry

Unit cell a=4.630 b=4.630 c=4.915 alpha=90.00 beta=90.00 gamma=90.00
Positions (direct):
Ge1 0.000 0.000 0.000
H1 0.500 0.500 0.500
S1 0.000 0.500 0.000
S2 0.500 0.000 0.000
Cl1 0.000 0.000 0.500

Properties
D(E_F): 4.50 states/eV per cell
Calculated total energy: -3.123 eV/atom
M_tot: 0.57 μB per formula unit
SG: P4/mmm

***

CoH2O2 | PBEsol | optimized geometry

Unit cell a=5.463 b=3.021 c=4.499 alpha=90.00 beta=90.49 gamma=90.00
Positions (direct):
Co1 0.000 0.000 0.000
Co2 0.500 0.500 0.000
H1 0.163 0.500 0.546
H2 0.337 0.000 0.454
H3 0.663 0.000 0.546
H4 0.837 0.500 0.454
O1 0.169 0.500 0.765
O2 0.331 0.000 0.235
O3 0.669 0.000 0.765
O4 0.831 0.500 0.235

Properties
Energy relative to the lowest polymorph listed for this composition: 0 meV/atom
D(E_F): 9.01 states/eV per cell
Calculated total energy: -5.746 eV/atom
M_tot: 3.00 μB per formula unit
SG: C2/m

***

SrZrBe2 | PBEsol | optimized geometry

Unit cell a=3.384 b=3.384 c=6.783 alpha=90.00 beta=90.00 gamma=90.00
Positions (direct):
Sr1 0.000 0.000 0.000
Zr1 0.000 0.000 0.500
Be1 0.500 0.500 0.324
Be2 0.500 0.500 0.676

Properties
Energy relative to the lowest polymorph listed for this composition: 0 meV/atom
D(E_F): 2.05 states/eV per cell
Calculated total energy: -4.494 eV/atom
M_tot: 0.00 μB per formula unit
SG: P4/mmm

***

Al2Cu3Ni3 | PBEsol | optimized geometry

Unit cell a=5.024 b=5.730 c=6.742 alpha=89.64 beta=74.99 gamma=76.32
Positions (direct):
Al1 0.065 0.208 0.060
Al2 0.325 0.931 0.313
Al3 0.675 0.069 0.687
Al4 0.935 0.792 0.940
Cu1 0.177 0.065 0.690
Cu2 0.195 0.559 0.190
Cu3 0.436 0.316 0.437
Cu4 0.564 0.684 0.563
Cu5 0.805 0.441 0.810
Cu6 0.823 0.935 0.310
Ni1 0.059 0.692 0.564
Ni2 0.314 0.439 0.810
Ni3 0.426 0.818 0.940
Ni4 0.574 0.182 0.060
Ni5 0.686 0.561 0.190
Ni6 0.941 0.308 0.436

Properties
D(E_F): 5.70 states/eV per cell
Calculated total energy: -5.274 eV/atom
M_tot: 0.00 μB per formula unit
SG: P-1

***

Cu3SbP4O16 | PBEsol | optimized geometry

Unit cell a=4.807 b=5.849 c=9.706 alpha=90.00 beta=91.31 gamma=90.00
Positions (direct):
Cu1 0.000 0.000 0.000
Cu2 0.194 0.500 0.435
Cu3 0.680 0.000 0.483
Sb1 0.551 0.500 0.921
P1 0.213 0.000 0.306
P2 0.511 0.000 0.791
P3 0.733 0.500 0.607
P4 0.990 0.500 0.119
O1 0.253 0.000 0.148
O2 0.300 0.500 0.080
O3 0.359 0.211 0.865
O4 0.359 0.789 0.865
O5 0.371 0.206 0.375
O6 0.371 0.794 0.375
O7 0.417 0.500 0.601
O8 0.443 0.000 0.639
O9 0.812 0.500 0.769
O10 0.820 0.000 0.826
O11 0.823 0.302 0.040
O12 0.823 0.698 0.040
O13 0.879 0.292 0.542
O14 0.879 0.708 0.542
O15 0.897 0.000 0.323
O16 0.956 0.500 0.271

Properties
D(E_F): 6.64 states/eV per cell
Calculated total energy: -6.737 eV/atom
Formation energy without anion corrections: -1540 meV per atom
M_tot: 2.74 μB per formula unit
SG: Pm

***

SrNiTe | PBEsol | optimized geometry

Unit cell a=4.309 b=4.309 c=4.439 alpha=90.00 beta=90.00 gamma=120.00
Positions (direct):
Sr1 0.000 0.000 0.000
Ni1 0.667 0.333 0.500
Te1 0.333 0.667 0.500

Properties
D(E_F): 1.13 states/eV per cell
Calculated total energy: -4.708 eV/atom
Formation energy without anion corrections: -867 meV per atom
M_tot: 0.00 μB per formula unit
SG: P-6m2

***

La2ReSe | PBEsol | optimized geometry

Unit cell a=4.379 b=4.379 c=20.306 alpha=90.00 beta=90.00 gamma=120.00
Positions (direct):
La1 0.000 0.000 0.000
La2 0.000 0.000 0.170
La3 0.333 0.667 0.667
La4 0.333 0.667 0.837
La5 0.667 0.333 0.333
La6 0.667 0.333 0.503
Re1 0.000 0.000 0.756
Re2 0.333 0.667 0.422
Re3 0.667 0.333 0.089
Se1 0.000 0.000 0.413
Se2 0.333 0.667 0.080
Se3 0.667 0.333 0.747

Properties
D(E_F): 8.57 states/eV per cell
Calculated total energy: -7.256 eV/atom
Formation energy without anion corrections: -288 meV per atom
M_tot: 0.00 μB per formula unit
SG: R3m

***

CaFeTc3 | PBEsol | optimized geometry

Unit cell a=4.428 b=4.428 c=4.428 alpha=90.00 beta=90.00 gamma=90.00
Positions (direct):
Ca1 0.000 0.000 0.000
Fe1 0.500 0.500 0.500
Tc1 0.000 0.000 0.500
Tc2 0.000 0.500 0.000
Tc3 0.500 0.000 0.000

Properties
D(E_F): 5.57 states/eV per cell
Calculated total energy: -6.189 eV/atom
M_tot: 2.10 μB per formula unit
SG: Pm-3m